(1)
Below is crystalline SbPd8Au5 at its relaxed geometry, with properties calculated at the PBE level.

Lattice parameters (Å, degrees): 6.8584 6.8584 6.8584 110.34 107.74 110.34
Closest atoms and distances in Å follow each position.
Fractional positions:
Sb 0.2500 0.5000 0.7500  8 Pd 2.57-2.73
Pd 0.1003 0.7681 0.9947  1 Sb 2.73, 4 Pd 2.82-2.99, 4 Au 2.82-2.88
Pd 0.0053 0.1055 0.7734  1 Sb 2.73, 4 Pd 2.82-2.99, 4 Au 2.82-2.88
Pd 0.8267 0.2199 0.3969  1 Sb 2.57, 5 Au 2.67-2.83
Pd 0.6031 0.4298 0.8230  1 Sb 2.57, 5 Au 2.67-2.83
Pd 0.3932 0.5702 0.1733  1 Sb 2.57, 5 Au 2.67-2.83
Pd 0.6679 0.8945 0.8997  1 Sb 2.73, 4 Pd 2.82-2.99, 4 Au 2.82-2.88
Pd 0.2266 0.2319 0.3321  1 Sb 2.73, 4 Pd 2.82-2.99, 4 Au 2.82-2.88
Pd 0.1770 0.7801 0.6068  1 Sb 2.57, 5 Au 2.67-2.83
Au 0.9504 0.4098 0.1277  8 Pd 2.72-2.88, 2 Au 2.96
Au 0.8723 0.8227 0.2821  8 Pd 2.72-2.88, 2 Au 2.96
Au 0.7179 0.5902 0.5406  8 Pd 2.72-2.88, 2 Au 2.96
Au 0.5000 0.0000 0.5000  4 Pd 2.67
Au 0.4594 0.1773 0.0496  8 Pd 2.72-2.88, 2 Au 2.96

- formation energy (no corrections) (eV per atom) = -0.059
- raw total energy (eV per atom) = -4.49
- total magnetization (μB/f.u.) = 0.000

(2)
Below is crystalline Y3CrFe at its relaxed geometry, with properties calculated at the PBE level.

Lattice parameters (Å, degrees): 5.1639 5.1639 5.1639 90.00 90.00 90.00
Closest atoms and distances in Å follow each position.
Fractional positions:
Y 0.0000 0.5000 0.0000  2 Fe 2.58
Y 0.0000 0.0000 0.5000  2 Fe 2.58
Y 0.5000 0.0000 0.0000  2 Fe 2.58
Cr 0.5000 0.5000 0.5000  12 Y 3.65
Fe 0.0000 0.0000 0.0000  6 Y 2.58

- raw total energy (eV per atom) = -7.09
- energy of formation (eV/f.u.) = 2.0
- total magnetization (μB/f.u.) = 4.394

(3)
Below is crystalline MnAgAsSe2 at its relaxed geometry, with properties calculated at the PBE level.

Lattice parameters (Å, degrees): 4.8190 4.8190 4.4970 90.00 90.00 90.00
Closest atoms and distances in Å follow each position.
Fractional positions:
As 0.0000 0.0000 0.5000  2 Mn 2.25
Mn 0.0000 0.0000 0.0000  2 As 2.25, 4 Se 2.41
Se 0.0000 0.5000 0.0000  2 Mn 2.41
Se 0.5000 0.0000 0.0000  2 Mn 2.41
Ag 0.5000 0.5000 0.5000  8 Se 3.30, 4 As 3.41

- formation energy (no corrections) (eV per atom) = 0.440
- raw total energy (eV per atom) = -4.29
- total magnetization (μB/f.u.) = 0.000